No. 1
# TaCo2Ag | Alexandria via LeMat-Bulk | PBE | relaxed
data_TaCo2Ag
_chemical_formula_sum 'Ta1 Co2 Ag1'
_cell_length_a 4.030
_cell_length_b 4.030
_cell_length_c 3.376
_cell_angle_alpha 90.00
_cell_angle_beta 90.00
_cell_angle_gamma 90.00
_space_group_name_H-M_alt 'P 4/m m m'
_space_group_IT_number 123
_space_group_name_Hall '-P 4 2'
loop_
_atom_site_label
_atom_site_fract_x
_atom_site_fract_y
_atom_site_fract_z
_atom_site_occupancy
Ta1 0.000 0.000 0.000 1
Co1 0.000 0.500 0.500 1
Ag1 0.500 0.500 0.000 1
# ΔE_f (eV per atom): 0.106
# VASP energy (eV per atom): -7.123
# Polymorph energy (0 for the lowest one) (meV/atom): 74

=====

No. 2
# Ta2AlAg | Alexandria via LeMat-Bulk | PBE | relaxed
data_Ta2AlAg
_chemical_formula_sum 'Ta8 Al4 Ag4'
_cell_length_a 6.562
_cell_length_b 6.562
_cell_length_c 6.562
_cell_angle_alpha 90.00
_cell_angle_beta 90.00
_cell_angle_gamma 90.00
_space_group_name_H-M_alt 'F -4 3 m'
_space_group_IT_number 216
_space_group_name_Hall 'F -4 2 3'
loop_
_atom_site_label
_atom_site_fract_x
_atom_site_fract_y
_atom_site_fract_z
_atom_site_occupancy
Ta1 0.000 0.000 0.000 1
Ta2 0.250 0.250 0.250 1
Al1 0.250 0.250 0.750 1
Ag1 0.000 0.000 0.500 1
# ΔE_f (eV per atom): 0.362
# VASP energy (eV per atom): -7.213
# Polymorph energy (0 for the lowest one) (meV/atom): 370

=====

No. 3
# UTlPbBr6 | Alexandria via LeMat-Bulk | PBE | relaxed
data_UTlPbBr6
_chemical_formula_sum 'U2 Tl2 Pb2 Br12'
_cell_length_a 7.7571
_cell_length_b 7.7571
_cell_length_c 14.2048
_cell_angle_alpha 90.00
_cell_angle_beta 90.00
_cell_angle_gamma 120.00
_space_group_name_H-M_alt 'P -3 1 c'
_space_group_IT_number 163
_space_group_name_Hall '-P 3 2c'
loop_
_atom_site_label
_atom_site_fract_x
_atom_site_fract_y
_atom_site_fract_z
_atom_site_occupancy
U1 0.3333 0.6667 0.2500 1
Tl1 0.0000 0.0000 0.0000 1
Pb1 0.3333 0.6667 0.7500 1
Br1 0.0142 0.3697 0.1327 1
# VASP energy (eV per atom): -4.121
# E_form (uncorrected) (meV/atom): -1077

=====

No. 4
# Ho4BSe2S | Alexandria via LeMat-Bulk | PBE | relaxed
data_Ho4BSe2S
_chemical_formula_sum 'Ho8 B2 Se4 S2'
_cell_length_a 5.592
_cell_length_b 5.592
_cell_length_c 11.212
_cell_angle_alpha 90.00
_cell_angle_beta 90.00
_cell_angle_gamma 90.00
_space_group_name_H-M_alt 'I -4 m 2'
_space_group_IT_number 119
_space_group_name_Hall 'I -4 -2'
loop_
_atom_site_label
_atom_site_fract_x
_atom_site_fract_y
_atom_site_fract_z
_atom_site_occupancy
Ho1 0.000 0.000 0.227 1
Ho2 0.000 0.500 0.005 1
B1 0.000 0.000 0.000 1
Se1 0.000 0.000 0.500 1
Se2 0.000 0.500 0.750 1
S1 0.000 0.500 0.250 1
# VASP energy (eV per atom): -5.978
# E_form (uncorrected) (meV/atom): -1467

=====

No. 5
# IrOsSe | Alexandria via LeMat-Bulk | PBE | relaxed
data_IrOsSe
_chemical_formula_sum 'Ir2 Os2 Se2'
_cell_length_a 2.873
_cell_length_b 2.873
_cell_length_c 11.526
_cell_angle_alpha 90.00
_cell_angle_beta 90.00
_cell_angle_gamma 90.00
_space_group_name_H-M_alt 'I 4 m m'
_space_group_IT_number 107
_space_group_name_Hall 'I 4 -2'
loop_
_atom_site_label
_atom_site_fract_x
_atom_site_fract_y
_atom_site_fract_z
_atom_site_occupancy
Ir1 0.000 0.000 0.000 1
Os1 0.000 0.000 0.348 1
Se1 0.000 0.000 0.699 1
# VASP energy (eV per atom): -7.322
# Polymorph energy (0 for the lowest one) (meV/atom): 68
# E_form (uncorrected) (meV/atom): 536

=====

No. 6
# LuGa2Ge | Alexandria via LeMat-Bulk | PBE | relaxed
data_LuGa2Ge
_chemical_formula_sum 'Lu1 Ga2 Ge1'
_cell_length_a 4.122
_cell_length_b 4.122
_cell_length_c 4.489
_cell_angle_alpha 90.00
_cell_angle_beta 90.00
_cell_angle_gamma 90.00
_space_group_name_H-M_alt 'P 4/m m m'
_space_group_IT_number 123
_space_group_name_Hall '-P 4 2'
loop_
_atom_site_label
_atom_site_fract_x
_atom_site_fract_y
_atom_site_fract_z
_atom_site_occupancy
Lu1 0.000 0.000 0.000 1
Ga1 0.000 0.500 0.500 1
Ge1 0.500 0.500 0.000 1
# ΔE_f (eV per atom): -0.453
# VASP energy (eV per atom): -4.251
# Polymorph energy (0 for the lowest one) (meV/atom): 0

=====

No. 7
# Cs2Zn2PbS4 | Alexandria via LeMat-Bulk | PBE | relaxed
data_Cs2Zn2PbS4
_chemical_formula_sum 'Cs4 Zn4 Pb2 S8'
_cell_length_a 16.097
_cell_length_b 4.137
_cell_length_c 8.216
_cell_angle_alpha 90.00
_cell_angle_beta 109.90
_cell_angle_gamma 90.00
_space_group_name_H-M_alt 'C 1 2/m 1'
_space_group_IT_number 12
_space_group_name_Hall '-C 2y'
loop_
_atom_site_label
_atom_site_fract_x
_atom_site_fract_y
_atom_site_fract_z
_atom_site_occupancy
Cs1 0.129 0.000 0.037 1
Zn1 0.172 0.500 0.471 1
Pb1 0.000 0.000 0.500 1
S1 0.032 0.500 0.269 1
S2 0.206 0.000 0.646 1
# VASP energy (eV per atom): -3.599
# E_form (uncorrected) (meV/atom): -880

=====

No. 8
# LiMnPb | Alexandria via LeMat-Bulk | PBE | relaxed
data_LiMnPb
_chemical_formula_sum 'Li2 Mn2 Pb2'
_cell_length_a 3.203
_cell_length_b 4.271
_cell_length_c 8.557
_cell_angle_alpha 90.00
_cell_angle_beta 90.00
_cell_angle_gamma 90.00
_space_group_name_H-M_alt 'I m m 2'
_space_group_IT_number 44
_space_group_name_Hall 'I 2 -2'
loop_
_atom_site_label
_atom_site_fract_x
_atom_site_fract_y
_atom_site_fract_z
_atom_site_occupancy
Li1 0.000 0.000 0.000 1
Mn1 0.000 0.000 0.334 1
Pb1 0.000 0.000 0.671 1
# ΔE_f (eV per atom): 0.175
# VASP energy (eV per atom): -4.755

=====

No. 9
# ZrCuBi2O6 | Alexandria via LeMat-Bulk | PBE | relaxed
data_ZrCuBi2O6
_chemical_formula_sum 'Zr2 Cu2 Bi4 O12'
_cell_length_a 5.419
_cell_length_b 5.622
_cell_length_c 10.434
_cell_angle_alpha 90.00
_cell_angle_beta 117.66
_cell_angle_gamma 90.00
_space_group_name_H-M_alt 'P 1 21/c 1'
_space_group_IT_number 14
_space_group_name_Hall '-P 2ybc'
loop_
_atom_site_label
_atom_site_fract_x
_atom_site_fract_y
_atom_site_fract_z
_atom_site_occupancy
Zr1 0.000 0.000 0.000 1
Cu1 0.500 0.000 0.500 1
Bi1 0.295 0.050 0.760 1
O1 0.069 0.073 0.212 1
O2 0.287 0.704 0.080 1
O3 0.360 0.216 0.056 1
# VASP energy (eV per atom): -6.646
# E_form (uncorrected) (meV/atom): -1631

=====

No. 10
# LaAlAs3 | Alexandria via LeMat-Bulk | PBE | relaxed
data_LaAlAs3
_chemical_formula_sum 'La1 Al1 As3'
_cell_length_a 4.905
_cell_length_b 4.905
_cell_length_c 4.905
_cell_angle_alpha 90.00
_cell_angle_beta 90.00
_cell_angle_gamma 90.00
_space_group_name_H-M_alt 'P m -3 m'
_space_group_IT_number 221
_space_group_name_Hall '-P 4 2 3'
loop_
_atom_site_label
_atom_site_fract_x
_atom_site_fract_y
_atom_site_fract_z
_atom_site_occupancy
La1 0.000 0.000 0.000 1
Al1 0.500 0.500 0.500 1
As1 0.000 0.500 0.500 1
# ΔE_f (eV per atom): -0.348
# VASP energy (eV per atom): -4.872
# Polymorph energy (0 for the lowest one) (meV/atom): 0

=====

No. 11
# CrTe2 | Alexandria via LeMat-Bulk | PBE | relaxed
data_CrTe2
_chemical_formula_sum 'Cr1 Te2'
_cell_length_a 5.4223
_cell_length_b 5.4223
_cell_length_c 3.1560
_cell_angle_alpha 90.00
_cell_angle_beta 90.00
_cell_angle_gamma 120.00
_space_group_name_H-M_alt 'P 6/m m m'
_space_group_IT_number 191
_space_group_name_Hall '-P 6 2'
loop_
_atom_site_label
_atom_site_fract_x
_atom_site_fract_y
_atom_site_fract_z
_atom_site_occupancy
Cr1 0.0000 0.0000 0.0000 1
Te1 0.3333 0.6667 0.5000 1
# VASP energy (eV per atom): -4.650
# E_form (uncorrected) (meV/atom): 653

=====

Computed values of magnetization (unit: μB per formula unit) for the preceding records, in sequence: 0.00; 0.00; 3.00; 0.00; 0.00; 0.00; 0.00; 3.92; 1.01; 0.00; 4.46.